This record from Alexandria describes a geometry-optimized Ce2SnAs3Pd4 structure. The functional is GGA-PBE.

Cell lengths 4.2686, 4.2686, 11.0501 Å; angles 90.00, 90.00, 90.00 degrees
Closest atoms and distances in Å follow each position.
Atoms (fractional coordinates):
Ce 0.5000 0.0000 0.2285  4 As 3.20, 8 Pd 3.31
Ce 0.0000 0.5000 0.7715  4 As 3.20, 8 Pd 3.31
Sn 0.5000 0.5000 0.5000  4 Pd 2.69
As 0.0000 0.0000 0.5000  4 Pd 2.69
As 0.5000 0.0000 0.8685  5 Pd 2.44-2.58
As 0.0000 0.5000 0.1315  5 Pd 2.44-2.58
Pd 0.5000 0.5000 0.0000  4 As 2.58
Pd 0.0000 0.0000 0.0000  4 As 2.58
Pd 0.5000 0.0000 0.6475  3 As 2.44-2.69, 2 Sn 2.69
Pd 0.0000 0.5000 0.3525  3 As 2.44-2.69, 2 Sn 2.69

Output
V = 201 Å³ per cell
Spin magnetization = 1.34 μB per cell
Final energy = -0.4316 Ry per atom
D(E_F) = 14.60 states/eV/f.u.
Calculated formation energy = -0.814 eV per atom


This record from Alexandria describes a geometry-optimized SrMnTe structure. The functional is GGA-PBE.

Cell lengths 5.1571, 5.1571, 5.1571 Å; angles 60.00, 60.00, 60.00 degrees
Closest atoms and distances in Å follow each position.
Atoms (fractional coordinates):
Mn 0.0000 0.0000 0.0000  4 Te 3.16
Sr 0.5000 0.5000 0.5000  4 Te 3.16
Te 0.7500 0.7500 0.7500  4 Mn 3.16, 4 Sr 3.16

Output
V = 97 Å³ per cell
Spin magnetization = 3.82 μB per cell
Final energy = -0.3438 Ry per atom
Uncorrected formation energy = -0.0136 eV/atom
Relative energy among the computed polymorphs = 38.41 kJ per mole of atoms
D(E_F) = 4.55 states/eV/f.u.


This record from Alexandria describes a geometry-optimized Ac12Pm2Nd5 structure. The functional is GGA-PBE.

Cell lengths 7.5435, 10.0217, 11.7966 Å; angles 102.37, 90.00, 112.11 degrees
Closest atoms and distances in Å follow each position.
Atoms (fractional coordinates):
Ac 0.8931 0.7861 0.1746  2 Pm 3.76, 4 Nd 3.79-3.89, 6 Ac 3.89-4.00
Ac 0.0632 0.6083 0.8805  3 Nd 3.56-3.77, 1 Pm 3.58, 4 Ac 3.63-3.91
Ac 0.5451 0.6083 0.8805  3 Nd 3.56-3.77, 1 Pm 3.58, 4 Ac 3.63-3.91
Ac 0.0689 0.6392 0.4133  6 Ac 3.65-3.90, 3 Nd 3.77-3.88
Ac 0.5703 0.6392 0.4133  6 Ac 3.65-3.90, 3 Nd 3.77-3.88
Ac 0.4380 0.8759 0.6817  3 Nd 3.57-3.88, 2 Ac 3.90
Ac 0.5620 0.1241 0.3183  3 Nd 3.57-3.88, 2 Ac 3.90
Ac 0.9311 0.3608 0.5867  6 Ac 3.65-3.90, 3 Nd 3.77-3.88
Ac 0.4297 0.3608 0.5867  6 Ac 3.65-3.90, 3 Nd 3.77-3.88
Ac 0.9368 0.3917 0.1195  3 Nd 3.56-3.77, 1 Pm 3.58, 4 Ac 3.63-3.91
Ac 0.4549 0.3917 0.1195  3 Nd 3.56-3.77, 1 Pm 3.58, 4 Ac 3.63-3.91
Ac 0.1069 0.2139 0.8254  2 Pm 3.76, 4 Nd 3.79-3.89, 6 Ac 3.89-4.00
Pm 0.7329 0.0000 0.0000  1 Pm 3.51, 4 Ac 3.58-3.76, 2 Nd 3.76
Pm 0.2671 0.0000 0.0000  1 Pm 3.51, 4 Ac 3.58-3.76, 2 Nd 3.76
Nd 0.1049 0.2098 0.2962  1 Nd 3.43, 2 Ac 3.56
Nd 0.3733 0.7466 0.1589  9 Ac 3.57-3.87, 2 Pm 3.76
Nd 0.0000 0.0000 0.5000  2 Nd 3.43, 4 Ac 3.77
Nd 0.6267 0.2534 0.8411  9 Ac 3.57-3.87, 2 Pm 3.76
Nd 0.8951 0.7902 0.7038  1 Nd 3.43, 2 Ac 3.56

Output
V = 804 Å³ per cell
Spin magnetization = 0.00 μB per cell
Final energy = -0.3073 Ry per atom
D(E_F) = 30.03 states/eV/f.u.
Calculated formation energy = 0.168 eV per atom


This record from Alexandria describes a geometry-optimized Zr2Ga3Co structure. The functional is GGA-PBE.

Cell lengths 5.3285, 5.3285, 6.5424 Å; angles 52.75, 52.75, 46.38 degrees
Closest atoms and distances in Å follow each position.
Atoms (fractional coordinates):
Zr 0.5384 0.5384 0.7126  9 Ga 2.86-3.08, 3 Co 3.02-3.04
Zr 0.4535 0.4535 0.2958  3 Co 2.83-2.95, 8 Ga 2.86-3.02
Ga 0.8529 0.8529 0.6691  1 Co 2.38, 2 Ga 2.54
Ga 0.8216 0.8216 0.1349  2 Co 2.38, 1 Ga 2.62
Ga 0.1640 0.1640 0.9019  3 Ga 2.54-2.62, 1 Co 2.55
Co 0.1696 0.1696 0.2856  4 Ga 2.38-2.55

Output
V = 101 Å³ per cell
Spin magnetization = 0.00 μB per cell
Final energy = -0.4459 Ry per atom
D(E_F) = 4.65 states/eV/f.u.
Calculated formation energy = -0.520 eV per atom


This record from Alexandria describes a geometry-optimized MgAgMo2 structure. The functional is GGA-PBE.

Cell lengths 7.6041, 7.6041, 5.9448 Å; angles 50.24, 50.24, 90.00 degrees
Closest atoms and distances in Å follow each position.
Atoms (fractional coordinates):
Mo 0.6378 0.1250 0.2500  2 Mo 2.54, 2 Ag 2.70, 2 Mg 2.83
Mo 0.1122 0.6250 0.2500  2 Mo 2.54, 2 Ag 2.70, 2 Mg 2.83
Mo 0.3750 0.3622 0.7500  2 Mo 2.54, 2 Ag 2.70, 2 Mg 2.83
Mo 0.8750 0.8878 0.7500  2 Mo 2.54, 2 Ag 2.70, 2 Mg 2.83
Mg 0.5000 0.5000 0.0000  2 Ag 2.54, 4 Mo 2.83
Mg 0.2500 0.7500 0.5000  2 Ag 2.54, 4 Mo 2.83
Ag 0.0000 0.0000 0.0000  2 Mg 2.54, 4 Mo 2.70
Ag 0.7500 0.2500 0.5000  2 Mg 2.54, 4 Mo 2.70

Output
V = 147 Å³ per cell
Spin magnetization = 0.00 μB per cell
Final energy = -0.4054 Ry per atom
D(E_F) = 5.21 states/eV/f.u.
Calculated formation energy = 1.011 eV per atom


This record from Alexandria describes a geometry-optimized AcGdTlZn structure. The functional is GGA-PBE.

Cell lengths 5.5150, 5.5150, 5.5150 Å; angles 60.00, 60.00, 60.00 degrees
Closest atoms and distances in Å follow each position.
Atoms (fractional coordinates):
Zn 0.0000 0.0000 0.0000  4 Ac 3.38, 4 Gd 3.38
Ac 0.2500 0.2500 0.2500  4 Tl 3.38, 4 Zn 3.38
Gd 0.7500 0.7500 0.7500  4 Zn 3.38, 4 Tl 3.38
Tl 0.5000 0.5000 0.5000  4 Gd 3.38, 4 Ac 3.38

Output
V = 119 Å³ per cell
Spin magnetization = 8.02 μB per cell
Final energy = -0.4225 Ry per atom
D(E_F) = 4.29 states/eV/f.u.
Calculated formation energy = -0.292 eV per atom